A | The following is a DFT calculation (PBE) of crystalline RbHgH3 at its relaxed geometry.

The spin magnetization comes out at 2.00 μB per formula unit. The space group is Pm-3m. The value obtained for the density is 3.5 g/cm3.

a b c (Å): 5.138 5.138 5.138
angles (deg): 90.00 90.00 90.00
Positions (direct):
1 H 0.000 0.500 0.000
2 H 0.000 0.000 0.500
3 H 0.500 0.000 0.000
4 Hg 0.500 0.500 0.500
5 Rb 0.000 0.000 0.000

B | The following is a DFT calculation (PBE) of crystalline RbHgH3 at its relaxed geometry.

The spin magnetization comes out at 0.00 μB per formula unit. The space group is P-1. The value obtained for the density is 4.7 g/cm3.

a b c (Å): 4.117 6.795 8.601
angles (deg): 88.82 122.02 90.60
Positions (direct):
1 Rb 0.056 0.745 0.245
2 Rb 0.944 0.255 0.755
3 Hg 0.325 0.752 0.744
4 Hg 0.675 0.248 0.256
5 H 0.440 0.026 0.153
6 H 0.560 0.974 0.847
7 H 0.424 0.468 0.150
8 H 0.576 0.532 0.850
9 H 0.854 0.742 0.552
10 H 0.146 0.258 0.448

Stability, highest: B